Material: Pr2NdFeN4
Method: DFT, PBE
State: relaxed

Summary:
- volume (Å³ per cell) = 256.4
- energy relative to the elements, uncorrected (meV/atom) = -855

CIF file:
```
data_Pr2NdFeN4
_chemical_formula_sum 'Pr4 Nd2 Fe2 N8'
_cell_length_a 6.269
_cell_length_b 6.269
_cell_length_c 12.154
_cell_angle_alpha 90.00
_cell_angle_beta 90.00
_cell_angle_gamma 147.54
_space_group_name_H-M_alt 'P 1'
_space_group_IT_number 1
_space_group_name_Hall 'P 1'
loop_
_atom_site_label
_atom_site_fract_x
_atom_site_fract_y
_atom_site_fract_z
Pr1 0.132 0.868 0.544
Pr2 0.132 0.868 0.956
Pr3 0.868 0.132 0.044
Pr4 0.868 0.132 0.456
Nd1 0.373 0.627 0.750
Nd2 0.627 0.373 0.250
Fe1 0.338 0.662 0.250
Fe2 0.662 0.338 0.750
N1 0.105 0.895 0.750
N2 0.228 0.772 0.137
N3 0.228 0.772 0.363
N4 0.500 0.500 0.000
N5 0.500 0.500 0.500
N6 0.772 0.228 0.637
N7 0.772 0.228 0.863
N8 0.895 0.105 0.250
```